(1)
Computed, not measured: a relaxed Na2Ag2Ir crystal at the PBE level of DFT.

Cell lengths 6.8283, 6.8283, 4.6743 Å; angles 90.00, 90.00, 90.00 degrees
Fractional coordinates of all 10 atoms:
Ag (0.3609, 0.8609, 0.0000)
Na (0.8195, 0.3195, 0.5000)
Na (0.1805, 0.6805, 0.5000)
Ag (0.8609, 0.6391, 0.0000)
Na (0.3195, 0.1805, 0.5000)
Ir (0.5000, 0.5000, 0.0000)
Ag (0.6391, 0.1391, 0.0000)
Ir (0.0000, 0.0000, 0.0000)
Ag (0.1391, 0.3609, 0.0000)
Na (0.6805, 0.8195, 0.5000)

Calculated formation energy in eV/atom: 0.411
Fermi-level density of states in states/eV/f.u.: 3.5


(2)
Computed, not measured: a relaxed NaAgIr3 crystal at the PBE level of DFT.

Cell lengths 4.9014, 4.9014, 4.9014 Å; angles 90.00, 90.00, 90.00 degrees
Fractional coordinates of all 5 atoms:
Ir (0.0000, 0.0000, 0.5000)
Na (0.5000, 0.5000, 0.5000)
Ir (0.5000, 0.0000, 0.0000)
Ag (0.0000, 0.0000, 0.0000)
Ir (0.0000, 0.5000, 0.0000)

Calculated formation energy in eV/atom: 2.104
Fermi-level density of states in states/eV/f.u.: 9.4


(3)
Computed, not measured: a relaxed Na3AgIr crystal at the PBE level of DFT.

Cell lengths 5.3303, 5.3303, 5.3303 Å; angles 90.00, 90.00, 90.00 degrees
Fractional coordinates of all 5 atoms:
Na (0.0000, 0.5000, 0.0000)
Na (0.0000, 0.0000, 0.5000)
Ag (0.0000, 0.0000, 0.0000)
Na (0.5000, 0.0000, 0.0000)
Ir (0.5000, 0.5000, 0.5000)

Calculated formation energy in eV/atom: 0.986
Fermi-level density of states in states/eV/f.u.: 5.3


(4)
Computed, not measured: a relaxed NaAgIr2 crystal at the PBE level of DFT.

Cell lengths 4.5048, 4.5048, 4.5048 Å; angles 60.00, 60.00, 60.00 degrees
Fractional coordinates of all 4 atoms:
Na (0.0000, 0.0000, 0.0000)
Ag (0.5000, 0.5000, 0.5000)
Ir (0.7500, 0.7500, 0.7500)
Ir (0.2500, 0.2500, 0.2500)

Calculated formation energy in eV/atom: 0.936
Fermi-level density of states in states/eV/f.u.: 6.7


(5)
Computed, not measured: a relaxed NaAgIr2 crystal at the PBE level of DFT.

Cell lengths 8.0100, 8.0100, 6.1519 Å; angles 49.38, 49.38, 90.00 degrees
Fractional coordinates of all 8 atoms:
Ir (0.0785, 0.6250, 0.2500)
Na (0.2500, 0.7500, 0.5000)
Na (0.5000, 0.5000, 0.0000)
Ag (0.7500, 0.2500, 0.5000)
Ir (0.6715, 0.1250, 0.2500)
Ir (0.3750, 0.3285, 0.7500)
Ag (0.0000, 0.0000, 0.0000)
Ir (0.8750, 0.9215, 0.7500)

Calculated formation energy in eV/atom: 0.906
Fermi-level density of states in states/eV/f.u.: 1.8


(6)
Computed, not measured: a relaxed NaAg2IrO4 crystal at the PBE level of DFT.

Cell lengths 5.4410, 5.4410, 5.4410 Å; angles 106.85, 110.80, 110.80 degrees
Fractional coordinates of all 8 atoms:
Ag (0.5000, 0.2500, 0.7500)
Ag (0.5000, 0.7500, 0.2500)
O (0.0000, 0.1450, 0.4740)
O (0.6710, 0.5260, 0.5260)
O (0.0000, 0.4740, 0.1450)
Na (0.0000, 0.0000, 0.0000)
Ir (0.0000, 0.5000, 0.5000)
O (0.3290, 0.8550, 0.8550)

Uncorrected formation energy in eV/f.u.: -3.14
Fermi-level density of states in states/eV/f.u.: 1.9